Arrangement A

Density functional theory data (PBE) for crystalline TlTe2F at its relaxed geometry.

Cell and atoms, written as POSCAR:
```
TlTe2F
1.0
4.539 0.000 0.000
-2.270 3.931 0.000
0.000 0.000 23.459
Tl Te F
3 6 3
direct
0.000 0.000 0.000
0.333 0.667 0.667
0.667 0.333 0.333
0.000 0.000 0.403
0.000 0.000 0.597
0.333 0.667 0.070
0.333 0.667 0.263
0.667 0.333 0.737
0.667 0.333 0.930
0.000 0.000 0.500
0.333 0.667 0.167
0.667 0.333 0.833
```

magnetization = 0.00 μB per atom
space-group type = R-3m (166)

Arrangement B

Density functional theory data (PBE) for crystalline TlTe2F at its relaxed geometry.

Cell and atoms, written as POSCAR:
```
TlTe2F
1.0
7.269 0.000 0.000
0.000 7.269 0.000
0.000 0.000 7.269
Tl Te F
4 8 4
direct
0.000 0.000 0.000
0.000 0.500 0.500
0.500 0.000 0.500
0.500 0.500 0.000
0.250 0.250 0.250
0.250 0.250 0.750
0.250 0.750 0.250
0.250 0.750 0.750
0.750 0.250 0.250
0.750 0.250 0.750
0.750 0.750 0.250
0.750 0.750 0.750
0.000 0.000 0.500
0.000 0.500 0.000
0.500 0.000 0.000
0.500 0.500 0.500
```

magnetization = 0.00 μB per atom
space-group type = Fm-3m (225)

From most stable to least stable, the computed energies give arrangement A, arrangement B.